The following is a GGA-PBE calculation of an optimized crystal structure of Tb2Al4Ni3Pt, from the Alexandria database. Values from VASP.

Structure (Quantum ESPRESSO input):
```
&SYSTEM
  ibrav = 0, nat = 10, ntyp = 4
/
ATOMIC_SPECIES
Tb 158.93 Tb.upf
Al 26.98 Al.upf
Ni 58.69 Ni.upf
Pt 195.08 Pt.upf
CELL_PARAMETERS angstrom
4.008 0.000 0.000
0.000 4.008 0.000
0.000 0.000 10.583
ATOMIC_POSITIONS crystal
Tb 0.000 0.500 0.240
Tb 0.500 0.000 0.760
Al 0.000 0.000 0.000
Al 0.000 0.500 0.636
Al 0.500 0.000 0.364
Al 0.500 0.500 0.000
Ni 0.000 0.500 0.864
Ni 0.500 0.000 0.136
Ni 0.500 0.500 0.500
Pt 0.000 0.000 0.500
```

Computed properties:
M_tot = 0.00 μB per formula unit
Calculated formation energy = -719 meV/atom

***

The following is a GGA-PBE calculation of an optimized crystal structure of Mg2GaAu3, from the Alexandria database. Values from VASP.

Structure (Quantum ESPRESSO input):
```
&SYSTEM
  ibrav = 0, nat = 12, ntyp = 3
/
ATOMIC_SPECIES
Mg 24.30 Mg.upf
Ga 69.72 Ga.upf
Au 196.97 Au.upf
CELL_PARAMETERS angstrom
1.540 -10.966 0.000
1.540 10.966 0.000
0.000 0.000 7.088
ATOMIC_POSITIONS crystal
Mg 0.017 0.983 0.750
Mg 0.157 0.843 0.250
Mg 0.843 0.157 0.750
Mg 0.983 0.017 0.250
Ga 0.357 0.643 0.250
Ga 0.643 0.357 0.750
Au 0.239 0.761 0.750
Au 0.429 0.571 0.544
Au 0.429 0.571 0.956
Au 0.571 0.429 0.044
Au 0.571 0.429 0.456
Au 0.761 0.239 0.250
```

Computed properties:
M_tot = 0.00 μB per formula unit
Calculated formation energy = -386 meV/atom
ΔE to the lowest computed polymorph = 75.4 meV/atom

***

Repeat the second record exactly.
The following is a GGA-PBE calculation of an optimized crystal structure of Mg2GaAu3, from the Alexandria database. Values from VASP.

Structure (Quantum ESPRESSO input):
```
&SYSTEM
  ibrav = 0, nat = 12, ntyp = 3
/
ATOMIC_SPECIES
Mg 24.30 Mg.upf
Ga 69.72 Ga.upf
Au 196.97 Au.upf
CELL_PARAMETERS angstrom
1.540 -10.966 0.000
1.540 10.966 0.000
0.000 0.000 7.088
ATOMIC_POSITIONS crystal
Mg 0.017 0.983 0.750
Mg 0.157 0.843 0.250
Mg 0.843 0.157 0.750
Mg 0.983 0.017 0.250
Ga 0.357 0.643 0.250
Ga 0.643 0.357 0.750
Au 0.239 0.761 0.750
Au 0.429 0.571 0.544
Au 0.429 0.571 0.956
Au 0.571 0.429 0.044
Au 0.571 0.429 0.456
Au 0.761 0.239 0.250
```

Computed properties:
M_tot = 0.00 μB per formula unit
Calculated formation energy = -386 meV/atom
ΔE to the lowest computed polymorph = 75.4 meV/atom